# 1
The following is a GGA-PBE calculation of crystalline CeDyErCd at its relaxed geometry, from the Alexandria database.

Total magnetic moment: 0.002 μB/atom
Density: 8.9 g cm⁻³
VASP energy: -62.96 eV for the cell shown
Space-group type: F-43m (216)
V: 436.94 Å³/cell

Unit cell a=7.5883 b=7.5883 c=7.5883 alpha=90.00 beta=90.00 gamma=90.00
Closest atoms and distances in Å follow each position.
Fractional coordinates of all 16 atoms:
Ce: 0.0000 0.0000 0.0000  4 Dy 3.29, 4 Er 3.29
Ce: 0.0000 0.5000 0.5000  4 Dy 3.29, 4 Er 3.29
Ce: 0.5000 0.0000 0.5000  4 Dy 3.29, 4 Er 3.29
Ce: 0.5000 0.5000 0.0000  4 Dy 3.29, 4 Er 3.29
Dy: 0.2500 0.2500 0.7500  4 Cd 3.29, 4 Ce 3.29
Dy: 0.2500 0.7500 0.2500  4 Cd 3.29, 4 Ce 3.29
Dy: 0.7500 0.2500 0.2500  4 Cd 3.29, 4 Ce 3.29
Dy: 0.7500 0.7500 0.7500  4 Cd 3.29, 4 Ce 3.29
Er: 0.2500 0.2500 0.2500  4 Cd 3.29, 4 Ce 3.29
Er: 0.2500 0.7500 0.7500  4 Cd 3.29, 4 Ce 3.29
Er: 0.7500 0.2500 0.7500  4 Cd 3.29, 4 Ce 3.29
Er: 0.7500 0.7500 0.2500  4 Cd 3.29, 4 Ce 3.29
Cd: 0.0000 0.0000 0.5000  4 Dy 3.29, 4 Er 3.29
Cd: 0.0000 0.5000 0.0000  4 Dy 3.29, 4 Er 3.29
Cd: 0.5000 0.0000 0.0000  4 Dy 3.29, 4 Er 3.29
Cd: 0.5000 0.5000 0.5000  4 Dy 3.29, 4 Er 3.29

=====

# 2
The following is a GGA-PBE calculation of crystalline Ac3Pu4Se8 at its relaxed geometry, from the Alexandria database.

Total magnetic moment: 0.024 μB/atom
Density: 8.3 g cm⁻³
Space-group type: C2/m (12)
Raw formation energy: -24.60 eV/f.u.
V: 455.37 Å³/cell

Unit cell a=8.6306 b=8.6306 c=8.5535 alpha=119.56 beta=119.56 gamma=90.27
Closest atoms and distances in Å follow each position.
Fractional coordinates of all 15 atoms:
Ac: 0.0000 0.0000 0.0000  6 Se 3.13-3.15
Ac: 0.0000 0.5000 0.5000  6 Se 3.04-3.06
Ac: 0.5000 0.0000 0.5000  6 Se 3.04-3.06
Pu: 0.0000 0.5000 0.0000  6 Se 3.05-3.06
Pu: 0.5000 0.0000 0.0000  6 Se 3.05-3.06
Pu: 0.5000 0.5000 0.0000  6 Se 2.96-2.98
Pu: 0.5000 0.5000 0.5000  6 Se 2.97-3.00
Se: 0.2549 0.7451 0.5000  3 Pu 3.00-3.06, 2 Ac 3.04
Se: 0.2564 0.7436 0.0000  3 Pu 2.98-3.05, 3 Ac 3.06-3.14
Se: 0.2622 0.2622 0.0113  4 Pu 2.96-3.06, 1 Ac 3.13
Se: 0.2630 0.2630 0.5144  2 Pu 2.97, 3 Ac 3.06-3.15
Se: 0.7370 0.7370 0.4856  2 Pu 2.97, 3 Ac 3.06-3.15
Se: 0.7378 0.7378 0.9887  4 Pu 2.96-3.06, 1 Ac 3.13
Se: 0.7436 0.2564 0.0000  3 Pu 2.98-3.05, 3 Ac 3.06-3.14
Se: 0.7451 0.2549 0.5000  3 Pu 3.00-3.06, 2 Ac 3.04

=====

# 3
The following is a GGA-PBE calculation of crystalline NbPt3O at its relaxed geometry, from the Alexandria database.

Total magnetic moment: 0.000 μB/atom
Distance to the lowest polymorph of the same formula: 122.1 kJ/mol of atoms
Density: 10.0 g cm⁻³
Space-group type: Pm-3m (221)
Raw formation energy: 8.12 eV/f.u.
V: 115.08 Å³/cell

Unit cell a=4.8640 b=4.8640 c=4.8640 alpha=90.00 beta=90.00 gamma=90.00
Closest atoms and distances in Å follow each position.
Fractional coordinates of all 5 atoms:
Nb: 0.0000 0.0000 0.0000  6 Pt 2.43
Pt: 0.0000 0.0000 0.5000  2 Nb 2.43
Pt: 0.0000 0.5000 0.0000  2 Nb 2.43
Pt: 0.5000 0.0000 0.0000  2 Nb 2.43
O: 0.5000 0.5000 0.5000  12 Pt 3.44

=====

# 4
The following is a GGA-PBE calculation of crystalline KInMo2 at its relaxed geometry, from the Alexandria database.

Total magnetic moment: 0.000 μB/atom
Density: 6.9 g cm⁻³
VASP energy: -64.02 eV for the cell shown
Space-group type: R-3m (166)
V: 249.87 Å³/cell

Unit cell a=2.9513 b=2.9513 c=33.1241 alpha=90.00 beta=90.00 gamma=120.00
Closest atoms and distances in Å follow each position.
Fractional coordinates of all 12 atoms:
K: 0.0000 0.0000 0.0000  6 K 2.95
K: 0.3333 0.6667 0.6667  6 K 2.95
K: 0.6667 0.3333 0.3333  6 K 2.95
In: 0.0000 0.0000 0.5000  6 Mo 2.94, 6 In 2.95
In: 0.3333 0.6667 0.1667  6 Mo 2.94, 6 In 2.95
In: 0.6667 0.3333 0.8333  6 Mo 2.94, 6 In 2.95
Mo: 0.0000 0.0000 0.2390  3 In 2.94, 6 Mo 2.95
Mo: 0.0000 0.0000 0.7610  3 In 2.94, 6 Mo 2.95
Mo: 0.3333 0.6667 0.4277  3 In 2.94, 6 Mo 2.95
Mo: 0.3333 0.6667 0.9057  3 In 2.94, 6 Mo 2.95
Mo: 0.6667 0.3333 0.0943  3 In 2.94, 6 Mo 2.95
Mo: 0.6667 0.3333 0.5723  3 In 2.94, 6 Mo 2.95

=====

# 5
The following is a GGA-PBE calculation of crystalline KTaO3 at its relaxed geometry, from the Alexandria database.

Total magnetic moment: 0.000 μB/atom
Density: 5.6 g cm⁻³
Space-group type: R-3 (148)
Raw formation energy: -13.24 eV/f.u.
V: 157.69 Å³/cell

Unit cell a=6.8122 b=6.8122 c=6.8122 alpha=47.58 beta=47.58 gamma=47.58
Closest atoms and distances in Å follow each position.
Fractional coordinates of all 10 atoms:
K: 0.1380 0.1380 0.1380  6 O 2.67-2.87
K: 0.8620 0.8620 0.8620  6 O 2.67-2.87
Ta: 0.3421 0.3421 0.3421  6 O 1.95-2.09
Ta: 0.6579 0.6579 0.6579  6 O 1.95-2.09
O: 0.0577 0.4879 0.6472  2 Ta 1.95-2.09
O: 0.3528 0.9423 0.5121  2 Ta 1.95-2.09
O: 0.4879 0.6472 0.0577  2 Ta 1.95-2.09
O: 0.5121 0.3528 0.9423  2 Ta 1.95-2.09
O: 0.6472 0.0577 0.4879  2 Ta 1.95-2.09
O: 0.9423 0.5121 0.3528  2 Ta 1.95-2.09

=====

# 6
The following is a GGA-PBE calculation of crystalline SrTi2In2 at its relaxed geometry, from the Alexandria database.

Total magnetic moment: 0.483 μB/atom
Distance to the lowest polymorph of the same formula: 7.3 kJ/mol of atoms
Density: 5.3 g cm⁻³
Space-group type: I4/mmm (139)
V: 256.42 Å³/cell

Unit cell a=4.3502 b=4.3502 c=13.5499 alpha=90.00 beta=90.00 gamma=90.00
Closest atoms and distances in Å follow each position.
Fractional coordinates of all 10 atoms:
Sr: 0.0000 0.0000 0.0000  8 In 3.42
Sr: 0.5000 0.5000 0.5000  8 In 3.42
Ti: 0.0000 0.5000 0.2500  4 In 2.88, 4 Ti 3.08
Ti: 0.0000 0.5000 0.7500  4 In 2.88, 4 Ti 3.08
Ti: 0.5000 0.0000 0.2500  4 In 2.88, 4 Ti 3.08
Ti: 0.5000 0.0000 0.7500  4 In 2.88, 4 Ti 3.08
In: 0.0000 0.0000 0.3899  4 Ti 2.88, 1 In 2.98
In: 0.0000 0.0000 0.6101  4 Ti 2.88, 1 In 2.98
In: 0.5000 0.5000 0.1101  4 Ti 2.88, 1 In 2.98
In: 0.5000 0.5000 0.8899  4 Ti 2.88, 1 In 2.98

=====

# 7
The following is a GGA-PBE calculation of crystalline BeH6Pd8 at its relaxed geometry, from the Alexandria database.

Total magnetic moment: 0.000 μB/atom
Density: 9.6 g cm⁻³
VASP energy: -66.98 eV for the cell shown
Space-group type: P-3 (147)
V: 150.47 Å³/cell

Unit cell a=7.7709 b=7.7709 c=2.8773 alpha=90.00 beta=90.00 gamma=120.00
Closest atoms and distances in Å follow each position.
Fractional coordinates of all 15 atoms:
Be: 0.0000 0.0000 0.0000  6 Pd 2.52
H: 0.1455 0.4500 0.2264  4 Pd 1.89-1.96
H: 0.3045 0.8545 0.2264  4 Pd 1.89-1.96
H: 0.4500 0.3045 0.7736  4 Pd 1.89-1.96
H: 0.5500 0.6955 0.2264  4 Pd 1.89-1.96
H: 0.6955 0.1455 0.7736  4 Pd 1.89-1.96
H: 0.8545 0.5500 0.7736  4 Pd 1.89-1.96
Pd: 0.0229 0.7030 0.2642  3 H 1.89-1.93
Pd: 0.2970 0.3199 0.2642  3 H 1.89-1.93
Pd: 0.3199 0.0229 0.7358  3 H 1.89-1.93
Pd: 0.3333 0.6667 0.8224  3 H 1.96
Pd: 0.6667 0.3333 0.1776  3 H 1.96
Pd: 0.6801 0.9771 0.2642  3 H 1.89-1.93
Pd: 0.7030 0.6801 0.7358  3 H 1.89-1.93
Pd: 0.9771 0.2970 0.7358  3 H 1.89-1.93

=====

# 8
The following is a GGA-PBE calculation of crystalline LaEuRhPb at its relaxed geometry, from the Alexandria database.

Total magnetic moment: 1.706 μB/atom
Density: 9.1 g cm⁻³
VASP energy: -111.38 eV for the cell shown
Space-group type: F-43m (216)
V: 437.21 Å³/cell

Unit cell a=7.5898 b=7.5898 c=7.5898 alpha=90.00 beta=90.00 gamma=90.00
Closest atoms and distances in Å follow each position.
Fractional coordinates of all 16 atoms:
La: 0.0000 0.0000 0.0000  4 Rh 3.29, 4 Pb 3.29
La: 0.0000 0.5000 0.5000  4 Rh 3.29, 4 Pb 3.29
La: 0.5000 0.0000 0.5000  4 Rh 3.29, 4 Pb 3.29
La: 0.5000 0.5000 0.0000  4 Rh 3.29, 4 Pb 3.29
Eu: 0.0000 0.0000 0.5000  4 Pb 3.29, 4 Rh 3.29
Eu: 0.0000 0.5000 0.0000  4 Pb 3.29, 4 Rh 3.29
Eu: 0.5000 0.0000 0.0000  4 Pb 3.29, 4 Rh 3.29
Eu: 0.5000 0.5000 0.5000  4 Pb 3.29, 4 Rh 3.29
Rh: 0.2500 0.2500 0.2500  4 La 3.29, 4 Eu 3.29
Rh: 0.2500 0.7500 0.7500  4 La 3.29, 4 Eu 3.29
Rh: 0.7500 0.2500 0.7500  4 La 3.29, 4 Eu 3.29
Rh: 0.7500 0.7500 0.2500  4 La 3.29, 4 Eu 3.29
Pb: 0.2500 0.2500 0.7500  4 La 3.29, 4 Eu 3.29
Pb: 0.2500 0.7500 0.2500  4 La 3.29, 4 Eu 3.29
Pb: 0.7500 0.2500 0.2500  4 La 3.29, 4 Eu 3.29
Pb: 0.7500 0.7500 0.7500  4 La 3.29, 4 Eu 3.29

=====

For reference, DOS at the Fermi energy by record: 2.020, 3.684, 1.633, 1.571, 0.000, 1.336, 0.435, 2.717 states/eV per atom.